Run 1
Entry from the Open Quantum Materials Database: a geometry-optimized SrLuAsO structure (GGA-PBE).

The magnetic moment is 0.00 μB per formula unit. As for the space-group type: P4/nmm, No. 129. Its density is 6.8 g cm⁻³.

a b c (Å): 4.3704 4.3704 9.0910
angles (deg): 90.00 90.00 90.00
Fractional positions:
As (0.0000, 0.5000, 0.2749)
As (0.5000, 0.0000, 0.7251)
Lu (0.5000, 0.0000, 0.0747)
Lu (0.0000, 0.5000, 0.9253)
O (0.0000, 0.0000, 0.0000)
O (0.5000, 0.5000, 0.0000)
Sr (0.0000, 0.0000, 0.5000)
Sr (0.5000, 0.5000, 0.5000)



Run 2
Entry from the Open Quantum Materials Database: a geometry-optimized SrLuAsO structure (GGA-PBE).

The magnetic moment is 0.08 μB per formula unit. As for the space-group type: P4/nmm, No. 129. Its density is 5.5 g cm⁻³.

a b c (Å): 4.8250 4.8250 9.2017
angles (deg): 90.00 90.00 90.00
Fractional positions:
As (0.7500, 0.7500, 0.3586)
As (0.2500, 0.2500, 0.6414)
Lu (0.7500, 0.2500, 0.5000)
Lu (0.2500, 0.7500, 0.5000)
O (0.7500, 0.2500, 0.0000)
O (0.2500, 0.7500, 0.0000)
Sr (0.2500, 0.2500, 0.0658)
Sr (0.7500, 0.7500, 0.9342)



The most stable arrangement is run 1, and the next structure is 9.9 kJ/mol of atoms less stable.



Run 1
Entry from the Open Quantum Materials Database: a geometry-optimized LuTaAsO structure (GGA-PBE).

The magnetic moment is 0.01 μB per formula unit. As for the space-group type: P4/nmm, No. 129. Its density is 11.5 g cm⁻³.

a b c (Å): 4.0749 4.0749 7.7444
angles (deg): 90.00 90.00 90.00
Fractional positions:
As (0.7500, 0.7500, 0.2493)
As (0.2500, 0.2500, 0.7507)
Lu (0.7500, 0.2500, 0.5000)
Lu (0.2500, 0.7500, 0.5000)
O (0.7500, 0.2500, 0.0000)
O (0.2500, 0.7500, 0.0000)
Ta (0.2500, 0.2500, 0.1137)
Ta (0.7500, 0.7500, 0.8863)



Run 2
Entry from the Open Quantum Materials Database: a geometry-optimized LuTaAsO structure (GGA-PBE).

The magnetic moment is 0.01 μB per formula unit. As for the space-group type: P4/nmm, No. 129. Its density is 11.0 g cm⁻³.

a b c (Å): 3.9037 3.9037 8.8610
angles (deg): 90.00 90.00 90.00
Fractional positions:
As (0.7500, 0.7500, 0.2930)
As (0.2500, 0.2500, 0.7070)
Lu (0.2500, 0.2500, 0.1168)
Lu (0.7500, 0.7500, 0.8832)
O (0.7500, 0.2500, 0.0000)
O (0.2500, 0.7500, 0.0000)
Ta (0.7500, 0.2500, 0.5000)
Ta (0.2500, 0.7500, 0.5000)



The most stable arrangement is run 2, and the next structure is 101.7 kJ/mol of atoms less stable.